# 1
The following is a DFT calculation (PBE) of a relaxed structure of Ta2CdPbAu.

## Properties
Calculated formation energy   2.03 eV per atom
SG   No. 123
Fermi-level density of states   1.286 states/eV per atom
M_tot   1.18 μB per cell
Calculated volume   27.7 Å³ per atom
Crystal system   tetragonal
Energy   -4.30 eV/atom

Lattice parameters (Å, degrees): 5.069 5.069 5.382 90.00 90.00 90.00
Positions (direct):
1 Ta 0.000 0.500 0.000
2 Ta 0.500 0.000 0.000
3 Cd 0.000 0.000 0.000
4 Pb 0.000 0.000 0.500
5 Au 0.500 0.500 0.500

---

# 2
The following is a DFT calculation (PBE) of a relaxed structure of Zr2TiAgB.

## Properties
Calculated formation energy   -0.10 eV per atom
SG   No. 123
Fermi-level density of states   1.257 states/eV per atom
M_tot   0.00 μB per cell
Calculated volume   18.6 Å³ per atom
Crystal system   tetragonal
Energy   -7.01 eV/atom

Lattice parameters (Å, degrees): 4.651 4.651 4.295 90.00 90.00 90.00
Positions (direct):
1 Zr 0.000 0.500 0.000
2 Zr 0.500 0.000 0.000
3 Ti 0.000 0.000 0.500
4 Ag 0.500 0.500 0.500
5 B 0.000 0.000 0.000

---

# 3
The following is a DFT calculation (PBE) of a relaxed structure of Pa2FeHg.

## Properties
Calculated formation energy   -0.02 eV per atom
SG   No. 166
Fermi-level density of states   1.607 states/eV per atom
M_tot   0.00 μB per cell
Calculated volume   23.8 Å³ per atom
Crystal system   trigonal
Energy   -6.96 eV/atom
E above lowest polymorph   0.0579 eV per atom

Lattice parameters (Å, degrees): 3.706 3.706 24.065 90.00 90.00 120.00
Positions (direct):
1 Pa 0.000 0.000 0.229
2 Pa 0.000 0.000 0.771
3 Pa 0.333 0.667 0.438
4 Pa 0.333 0.667 0.895
5 Pa 0.667 0.333 0.105
6 Pa 0.667 0.333 0.562
7 Fe 0.000 0.000 0.500
8 Fe 0.333 0.667 0.167
9 Fe 0.667 0.333 0.833
10 Hg 0.000 0.000 0.000
11 Hg 0.333 0.667 0.667
12 Hg 0.667 0.333 0.333

---

# 4
The following is a DFT calculation (PBE) of a relaxed structure of AsSe2.

## Properties
SG   No. 12
Fermi-level density of states   0.117 states/eV per atom
Uncorrected formation energy   14.7 meV/atom
M_tot   0.00 μB per cell
Calculated volume   31.0 Å³ per atom
Crystal system   monoclinic
Energy   -3.86 eV/atom

Lattice parameters (Å, degrees): 11.088 5.388 6.231 90.00 90.80 90.00
Positions (direct):
1 As 0.102 0.000 0.418
2 As 0.398 0.500 0.582
3 As 0.602 0.500 0.418
4 As 0.898 0.000 0.582
5 Se 0.098 0.500 0.323
6 Se 0.196 0.000 0.773
7 Se 0.304 0.500 0.227
8 Se 0.402 0.000 0.677
9 Se 0.598 0.000 0.323
10 Se 0.696 0.500 0.773
11 Se 0.804 0.000 0.227
12 Se 0.902 0.500 0.677

---

# 5
The following is a DFT calculation (PBE) of a relaxed structure of TiCr.

## Properties
Calculated formation energy   1.43 eV per atom
SG   No. 194
Fermi-level density of states   1.555 states/eV per atom
M_tot   4.07 μB per cell
Calculated volume   19.8 Å³ per atom
Crystal system   hexagonal
Energy   -7.33 eV/atom

Lattice parameters (Å, degrees): 4.347 4.347 4.850 90.00 90.00 120.00
Positions (direct):
1 Ti 0.333 0.667 0.250
2 Ti 0.667 0.333 0.750
3 Cr 0.333 0.667 0.750
4 Cr 0.667 0.333 0.250

---

# 6
The following is a DFT calculation (PBE) of a relaxed structure of BaCuSeBr2.

## Properties
SG   No. 123
Fermi-level density of states   1.144 states/eV per atom
Uncorrected formation energy   -191.5 meV/atom
M_tot   1.00 μB per cell
Calculated volume   50.3 Å³ per atom
Crystal system   tetragonal
Energy   -2.76 eV/atom
E above lowest polymorph   0.8790 eV per atom

Lattice parameters (Å, degrees): 6.225 6.225 6.489 90.00 90.00 90.00
Positions (direct):
1 Ba 0.000 0.000 0.000
2 Cu 0.500 0.500 0.500
3 Se 0.000 0.000 0.500
4 Br 0.000 0.500 0.000
5 Br 0.500 0.000 0.000

---

# 7
The following is a DFT calculation (PBE) of a relaxed structure of DyPu2NbN4.

## Properties
SG   No. 10
Fermi-level density of states   1.659 states/eV per atom
Uncorrected formation energy   -1325.0 meV/atom
M_tot   9.16 μB per cell
Calculated volume   13.6 Å³ per atom
Crystal system   monoclinic
Energy   -10.90 eV/atom

Lattice parameters (Å, degrees): 5.815 3.375 5.866 90.00 109.36 90.00
Positions (direct):
1 Dy 0.000 0.000 0.000
2 Pu 0.500 0.000 0.500
3 Pu 0.500 0.500 0.000
4 Nb 0.000 0.500 0.500
5 N 0.237 0.000 0.731
6 N 0.244 0.500 0.265
7 N 0.756 0.500 0.735
8 N 0.763 0.000 0.269

---

# 8
The following is a DFT calculation (PBE) of a relaxed structure of Li4Pd3PtO8.

## Properties
SG   No. 12
Uncorrected formation energy   -1030.2 meV/atom
M_tot   0.00 μB per cell
Calculated volume   10.7 Å³ per atom
Crystal system   monoclinic
Energy   -5.34 eV/atom

Lattice parameters (Å, degrees): 6.277 6.277 5.624 109.05 109.05 56.68
Positions (direct):
1 Li 0.000 0.000 0.000
2 Li 0.000 0.500 0.500
3 Li 0.500 0.000 0.500
4 Li 0.500 0.500 0.000
5 Pd 0.000 0.000 0.500
6 Pd 0.000 0.500 0.000
7 Pd 0.500 0.000 0.000
8 Pt 0.500 0.500 0.500
9 O 0.196 0.196 0.734
10 O 0.202 0.703 0.702
11 O 0.297 0.798 0.298
12 O 0.306 0.306 0.271
13 O 0.694 0.694 0.729
14 O 0.703 0.202 0.702
15 O 0.798 0.297 0.298
16 O 0.804 0.804 0.266

---

# 9
The following is a DFT calculation (PBE) of a relaxed structure of Cr2AuSCl.

## Properties
SG   No. 123
Fermi-level density of states   0.596 states/eV per atom
Uncorrected formation energy   845.2 meV/atom
M_tot   9.43 μB per cell
Calculated volume   22.0 Å³ per atom
Crystal system   tetragonal
Energy   -4.85 eV/atom

Lattice parameters (Å, degrees): 4.759 4.759 4.851 90.00 90.00 90.00
Positions (direct):
1 Cr 0.000 0.500 0.000
2 Cr 0.500 0.000 0.000
3 Au 0.000 0.000 0.500
4 S 0.500 0.500 0.500
5 Cl 0.000 0.000 0.000

---

# 10
The following is a DFT calculation (PBE) of a relaxed structure of DyHo4Th.

## Properties
Calculated formation energy   0.75 eV per atom
SG   No. 65
Fermi-level density of states   1.662 states/eV per atom
M_tot   0.00 μB per cell
Calculated volume   38.5 Å³ per atom
Crystal system   orthorhombic
Energy   -4.30 eV/atom
E above lowest polymorph   0.7359 eV per atom

Lattice parameters (Å, degrees): 11.533 11.772 3.399 90.00 90.00 90.00
Positions (direct):
1 Dy 0.000 0.000 0.000
2 Dy 0.500 0.500 0.000
3 Ho 0.000 0.231 0.500
4 Ho 0.000 0.769 0.500
5 Ho 0.238 0.500 0.000
6 Ho 0.262 0.000 0.000
7 Ho 0.500 0.269 0.500
8 Ho 0.500 0.731 0.500
9 Ho 0.738 0.000 0.000
10 Ho 0.762 0.500 0.000
11 Th 0.000 0.500 0.500
12 Th 0.500 0.000 0.500

---

# 11
The following is a DFT calculation (PBE) of a relaxed structure of Ac2LaPmDy.

## Properties
Calculated formation energy   0.24 eV per atom
SG   No. 51
Fermi-level density of states   1.354 states/eV per atom
M_tot   0.00 μB per cell
Calculated volume   39.8 Å³ per atom
Crystal system   orthorhombic
Energy   -4.26 eV/atom

Lattice parameters (Å, degrees): 6.526 8.890 6.865 90.00 90.00 90.00
Positions (direct):
1 Ac 0.250 0.206 0.213
2 Ac 0.250 0.794 0.213
3 Ac 0.750 0.206 0.787
4 Ac 0.750 0.794 0.787
5 La 0.250 0.500 0.919
6 La 0.750 0.500 0.081
7 Pm 0.250 0.000 0.684
8 Pm 0.750 0.000 0.316
9 Dy 0.000 0.500 0.500
10 Dy 0.500 0.500 0.500

---

# 12
The following is a DFT calculation (PBE) of a relaxed structure of K4RbAu2.

## Properties
Calculated formation energy   -0.18 eV per atom
SG   No. 11
Fermi-level density of states   0.591 states/eV per atom
M_tot   0.00 μB per cell
Calculated volume   45.6 Å³ per atom
Crystal system   monoclinic
Energy   -1.88 eV/atom
E above lowest polymorph   0.0000 eV per atom

Lattice parameters (Å, degrees): 9.256 7.436 10.039 90.00 112.47 90.00
Positions (direct):
1 K 0.130 0.250 0.485
2 K 0.166 0.750 0.230
3 K 0.255 0.501 0.928
4 K 0.255 0.999 0.928
5 K 0.745 0.001 0.072
6 K 0.745 0.499 0.072
7 K 0.834 0.250 0.770
8 K 0.870 0.750 0.515
9 Rb 0.497 0.750 0.658
10 Rb 0.503 0.250 0.342
11 Au 0.085 0.250 0.129
12 Au 0.475 0.250 0.787
13 Au 0.525 0.750 0.213
14 Au 0.915 0.750 0.871

---

# 13
The following is a DFT calculation (PBE) of a relaxed structure of Pm2HgC.

## Properties
Calculated formation energy   -0.27 eV per atom
SG   No. 166
Fermi-level density of states   0.906 states/eV per atom
M_tot   2.77 μB per cell
Calculated volume   24.2 Å³ per atom
Crystal system   trigonal
Energy   -5.02 eV/atom
E above lowest polymorph   0.0064 eV per atom

Lattice parameters (Å, degrees): 3.761 3.761 23.737 90.00 90.00 120.00
Positions (direct):
1 Pm 0.000 0.000 0.226
2 Pm 0.000 0.000 0.774
3 Pm 0.333 0.667 0.441
4 Pm 0.333 0.667 0.892
5 Pm 0.667 0.333 0.108
6 Pm 0.667 0.333 0.559
7 Hg 0.000 0.000 0.000
8 Hg 0.333 0.667 0.667
9 Hg 0.667 0.333 0.333
10 C 0.000 0.000 0.500
11 C 0.333 0.667 0.167
12 C 0.667 0.333 0.833